# 1
Density functional theory data (PBE) for a relaxed structure of LiThSiPt2.

The structure in CIF format:
```
data_LiThSiPt2
_chemical_formula_sum 'Li2 Th2 Si2 Pt4'
_cell_length_a 4.149
_cell_length_b 4.149
_cell_length_c 10.587
_cell_angle_alpha 90.00
_cell_angle_beta 90.00
_cell_angle_gamma 90.00
_space_group_name_H-M_alt 'I -4 m 2'
_space_group_IT_number 119
_space_group_name_Hall 'I -4 -2'
loop_
_atom_site_label
_atom_site_type_symbol
_atom_site_fract_x
_atom_site_fract_y
_atom_site_fract_z
_atom_site_occupancy
Li1 Li 0.000 0.000 0.000 1
Th1 Th 0.000 0.500 0.750 1
Si1 Si 0.000 0.000 0.500 1
Pt1 Pt 0.000 0.500 0.123 1
```

Calculated values
energy relative to the elements, uncorrected = -90.7 kJ/mol of atoms
magnetization = 0.00 μB/atom
calculated density = 12.0 Mg/m³
calculated total energy = -6.3080 eV per atom



# 2
Density functional theory data (PBE) for a relaxed structure of LiThSi2Pt.

The structure in CIF format:
```
data_LiThSi2Pt
_chemical_formula_sum 'Li2 Th2 Si4 Pt2'
_cell_length_a 4.132
_cell_length_b 4.132
_cell_length_c 10.327
_cell_angle_alpha 90.00
_cell_angle_beta 90.00
_cell_angle_gamma 90.00
_space_group_name_H-M_alt 'I -4 m 2'
_space_group_IT_number 119
_space_group_name_Hall 'I -4 -2'
loop_
_atom_site_label
_atom_site_type_symbol
_atom_site_fract_x
_atom_site_fract_y
_atom_site_fract_z
_atom_site_occupancy
Li1 Li 0.000 0.000 0.000 1
Th1 Th 0.000 0.500 0.750 1
Si1 Si 0.000 0.500 0.134 1
Pt1 Pt 0.000 0.000 0.500 1
```

Calculated values
energy relative to the elements, uncorrected = -88.9 kJ/mol of atoms
magnetization = 0.00 μB/atom
calculated density = 9.2 Mg/m³
calculated total energy = -6.1654 eV per atom



# 3
Density functional theory data (PBE) for a relaxed structure of LiTh2Si4Pt3.

The structure in CIF format:
```
data_LiTh2Si4Pt3
_chemical_formula_sum 'Li1 Th2 Si4 Pt3'
_cell_length_a 4.259
_cell_length_b 4.259
_cell_length_c 9.932
_cell_angle_alpha 90.00
_cell_angle_beta 90.00
_cell_angle_gamma 90.00
_space_group_name_H-M_alt 'P -4 m 2'
_space_group_IT_number 115
_space_group_name_Hall 'P -4 -2'
loop_
_atom_site_label
_atom_site_type_symbol
_atom_site_fract_x
_atom_site_fract_y
_atom_site_fract_z
_atom_site_occupancy
Li1 Li 0.000 0.000 0.000 1
Th1 Th 0.000 0.500 0.751 1
Si1 Si 0.000 0.000 0.500 1
Si2 Si 0.000 0.500 0.133 1
Si3 Si 0.500 0.500 0.500 1
Pt1 Pt 0.000 0.500 0.381 1
Pt2 Pt 0.500 0.500 0.000 1
```

Calculated values
energy relative to the elements, uncorrected = -98.5 kJ/mol of atoms
magnetization = 0.00 μB/atom
calculated density = 10.8 Mg/m³
calculated total energy = -6.6775 eV per atom